Compound: LiNd2In3
Source: Alexandria via LeMat-Bulk
Functional: PBE-GGA
Structure: relaxed

Unit cell a=6.1984 b=6.1984 c=9.3684 alpha=103.88 beta=103.88 gamma=105.97
Sites, in units of the cell vectors:
Li1 0.6682 0.6682 0.3365
Li2 0.3318 0.3318 0.6635
Nd1 0.2500 0.7500 0.5000
Nd2 0.7483 0.7483 0.0000
Nd3 0.7500 0.2500 0.5000
Nd4 0.2517 0.2517 0.0000
In1 0.3421 0.8303 0.1724
In2 0.1697 0.6579 0.8276
In3 0.6579 0.1697 0.8276
In4 0.8303 0.3421 0.1724
In5 0.1712 0.1712 0.3423
In6 0.8288 0.8288 0.6577

Calculated values
Space group: Fmmm (69)
Density of states at the Fermi level: 0.68 states/eV per atom
DFT total energy: -44.72 eV for the cell shown
Theoretical density: 6695 kg/m³
Energy of formation from the pure elements: -0.45 eV per atom

Compound: LiNdIn
Source: Alexandria via LeMat-Bulk
Functional: PBE-GGA
Structure: relaxed

Unit cell a=3.6099 b=3.6099 c=6.3767 alpha=106.44 beta=106.44 gamma=90.00
Each line ends with the local moment (μB).
Sites, in units of the cell vectors:
In1 0.9258 0.9258 0.8516  0.01
Nd1 0.6136 0.6136 0.2272  0.17
Li1 0.3106 0.3106 0.6212  0.01

Calculated values
Space group: I4mm (107)
Density of states at the Fermi level: 1.24 states/eV per atom
DFT total energy: -10.05 eV for the cell shown
Theoretical density: 5801 kg/m³
Energy of formation from the pure elements: -0.21 eV per atom